[1]
# LiYHgBi, relaxed, DFT GGA-PBE
# DOS at the Fermi energy: 0.868 states/eV per atom
# Calculated formation energy: -0.47 eV per atom
data_LiYHgBi
_cell_length_a 7.3956
_cell_length_b 7.3956
_cell_length_c 7.3956
_cell_angle_alpha 90.00
_cell_angle_beta 90.00
_cell_angle_gamma 90.00
_space_group_name_H-M_alt 'F -4 3 m'
_space_group_IT_number 216
_space_group_name_Hall 'F -4 2 3'
loop_
_atom_site_label
_atom_site_type_symbol
_atom_site_fract_x
_atom_site_fract_y
_atom_site_fract_z
Li1 Li 0.0000 0.0000 0.0000
Y1 Y 0.0000 0.0000 0.5000
Hg1 Hg 0.2500 0.2500 0.7500
Bi1 Bi 0.2500 0.2500 0.2500

[2]
# Pr4Sm5Ho2, relaxed, DFT GGA-PBE
# DOS at the Fermi energy: 1.525 states/eV per atom
# Calculated formation energy: 0.10 eV per atom
data_Pr4Sm5Ho2
_cell_length_a 24.3659
_cell_length_b 3.5775
_cell_length_c 8.8172
_cell_angle_alpha 90.00
_cell_angle_beta 94.41
_cell_angle_gamma 90.00
_space_group_name_H-M_alt 'C 1 2/m 1'
_space_group_IT_number 12
_space_group_name_Hall '-C 2y'
loop_
_atom_site_label
_atom_site_type_symbol
_atom_site_fract_x
_atom_site_fract_y
_atom_site_fract_z
Pr1 Pr 0.0406 0.0000 0.3454
Pr2 Pr 0.2259 0.5000 0.8253
Sm1 Sm 0.0000 0.5000 0.0000
Sm2 Sm 0.1300 0.0000 0.0451
Sm3 Sm 0.1844 0.0000 0.4751
Ho1 Ho 0.0875 0.5000 0.6977

[3]
# Ho2CdHg4, relaxed, DFT GGA-PBE
# DOS at the Fermi energy: 0.771 states/eV per atom
# Calculated formation energy: 0.08 eV per atom
data_Ho2CdHg4
_cell_length_a 5.3710
_cell_length_b 5.3710
_cell_length_c 15.2009
_cell_angle_alpha 90.00
_cell_angle_beta 90.00
_cell_angle_gamma 90.00
_space_group_name_H-M_alt 'I 4/m m m'
_space_group_IT_number 139
_space_group_name_Hall '-I 4 2'
loop_
_atom_site_label
_atom_site_type_symbol
_atom_site_fract_x
_atom_site_fract_y
_atom_site_fract_z
Ho1 Ho 0.0000 0.0000 0.1100
Cd1 Cd 0.0000 0.0000 0.5000
Hg1 Hg 0.0000 0.0000 0.3058
Hg2 Hg 0.0000 0.5000 0.0000

[4]
# LiPuSnIr, relaxed, DFT GGA-PBE
# DOS at the Fermi energy: 1.914 states/eV per atom
# Calculated formation energy: -0.41 eV per atom
data_LiPuSnIr
_cell_length_a 6.7279
_cell_length_b 6.7279
_cell_length_c 6.7279
_cell_angle_alpha 90.00
_cell_angle_beta 90.00
_cell_angle_gamma 90.00
_space_group_name_H-M_alt 'F -4 3 m'
_space_group_IT_number 216
_space_group_name_Hall 'F -4 2 3'
loop_
_atom_site_label
_atom_site_type_symbol
_atom_site_fract_x
_atom_site_fract_y
_atom_site_fract_z
Li1 Li 0.0000 0.0000 0.0000
Pu1 Pu 0.2500 0.2500 0.2500
Sn1 Sn 0.2500 0.2500 0.7500
Ir1 Ir 0.0000 0.0000 0.5000